(1)
This record from the Alexandria database describes a PBEsol-optimized structure of Ca2SiCl. The functional is SCAN. Values from VASP.

Space-group type: R-3m
Mass density (Mg/m³): 2.36
E_form (uncorrected) (eV/atom): -1.144

```
&SYSTEM
  ibrav = 0, nat = 4, ntyp = 3
/
ATOMIC_SPECIES
Ca 40.08 Ca.upf
Cl 35.45 Cl.upf
Si 28.09 Si.upf
CELL_PARAMETERS angstrom
4.014 0.000 0.000
2.007 3.477 0.000
2.007 1.159 7.249
ATOMIC_POSITIONS crystal
Ca 0.746 0.746 0.762
Ca 0.254 0.254 0.238
Cl 0.500 0.500 0.500
Si 0.000 0.000 0.000
```

=====

(2)
This record from the Alexandria database describes a PBEsol-optimized structure of RePdSCl2. The functional is SCAN. Values from VASP.

Space-group type: P4/mmm
Mass density (Mg/m³): 6.35
E_form (uncorrected) (eV/atom): 0.924

```
&SYSTEM
  ibrav = 0, nat = 5, ntyp = 4
/
ATOMIC_SPECIES
Cl 35.45 Cl.upf
Pd 106.42 Pd.upf
S 32.06 S.upf
Re 186.21 Re.upf
CELL_PARAMETERS angstrom
-4.010 1.412 -1.795
-2.086 -0.784 4.042
0.981 4.552 1.389
ATOMIC_POSITIONS crystal
Cl 0.500 0.000 0.000
Pd 0.000 0.000 0.000
S 0.000 0.000 0.500
Re 0.500 0.500 0.500
Cl 0.000 0.500 0.000
```

=====

- E_form (uncorrected) of number 1 (Ca2SiCl)?
  -1.144 eV/atom

=====

- What is the formula in the second record?
  RePdSCl2

=====

- Which formula does entry 1 have?
  Ca2SiCl